No. 1
# Zr3CuRe PBE relaxed
# Crystal system   cubic
# Energy relative to the lowest polymorph listed for this composition   0.170 eV/atom
# Calculated density   7.93 g/cm3
# N(E_F)   8.8 states/eV/cell
# E   -7.4840 eV per atom
# DFT formation energy   4.77 eV per formula unit
data_Zr3CuRe
_symmetry_space_group_name_H-M 'P m -3 m'
_symmetry_Int_Tables_number 221
_symmetry_space_group_name_Hall '-P 4 2 3'
_cell_length_a 4.785
_cell_length_b 4.785
_cell_length_c 4.785
_cell_angle_alpha 90.00
_cell_angle_beta 90.00
_cell_angle_gamma 90.00
loop_
_atom_site_label
_atom_site_fract_x
_atom_site_fract_y
_atom_site_fract_z
Zr1 0.000 0.000 0.500
Cu1 0.000 0.000 0.000
Re1 0.500 0.500 0.500

No. 2
# Zr2Cu2Re PBE relaxed
# Crystal system   tetragonal
# Calculated density   9.77 g/cm3
# N(E_F)   11.9 states/eV/cell
# E   -7.5233 eV per atom
# DFT formation energy   0.12 eV per formula unit
data_Zr2Cu2Re
_symmetry_space_group_name_H-M 'P 4/m b m'
_symmetry_Int_Tables_number 127
_symmetry_space_group_name_Hall '-P 4 2ab'
_cell_length_a 6.823
_cell_length_b 6.823
_cell_length_c 3.620
_cell_angle_alpha 90.00
_cell_angle_beta 90.00
_cell_angle_gamma 90.00
loop_
_atom_site_label
_atom_site_fract_x
_atom_site_fract_y
_atom_site_fract_z
Zr1 0.186 0.314 0.000
Cu1 0.121 0.621 0.500
Re1 0.000 0.000 0.500

No. 3
# ZrCu4Re PBE relaxed
# Crystal system   cubic
# Calculated density   10.65 g/cm3
# N(E_F)   26.5 states/eV/cell
# E   -6.1603 eV per atom
# DFT formation energy   0.42 eV per formula unit
data_ZrCu4Re
_symmetry_space_group_name_H-M 'F -4 3 m'
_symmetry_Int_Tables_number 216
_symmetry_space_group_name_Hall 'F -4 2 3'
_cell_length_a 6.921
_cell_length_b 6.921
_cell_length_c 6.921
_cell_angle_alpha 90.00
_cell_angle_beta 90.00
_cell_angle_gamma 90.00
loop_
_atom_site_label
_atom_site_fract_x
_atom_site_fract_y
_atom_site_fract_z
Zr1 0.000 0.000 0.000
Cu1 0.125 0.125 0.625
Re1 0.250 0.250 0.250

No. 4
# ZrCuRe PBE relaxed
# Crystal system   trigonal
# Energy relative to the lowest polymorph listed for this composition   0.057 eV/atom
# Calculated density   11.46 g/cm3
# N(E_F)   3.7 states/eV/cell
# E   -8.1887 eV per atom
# DFT formation energy   0.53 eV per formula unit
data_ZrCuRe
_symmetry_space_group_name_H-M 'P 3 m 1'
_symmetry_Int_Tables_number 156
_cell_length_a 4.6545
_cell_length_b 4.6545
_cell_length_c 2.6343
_cell_angle_alpha 90.00
_cell_angle_beta 90.00
_cell_angle_gamma 120.00
loop_
_symmetry_equiv_pos_as_xyz
'x,y,z'
'-y,x-y,z'
'-x+y,-x,z'
'-y,-x,z'
'-x+y,y,z'
'x,x-y,z'
loop_
_atom_site_label
_atom_site_fract_x
_atom_site_fract_y
_atom_site_fract_z
Zr1 0.0000 0.0000 0.0000
Cu1 0.3333 0.6667 0.4069
Re1 0.6667 0.3333 0.5964

No. 5
# Zr4CuRe PBE relaxed
# Crystal system   cubic
# Energy relative to the lowest polymorph listed for this composition   0.843 eV/atom
# Calculated density   8.41 g/cm3
# N(E_F)   40.7 states/eV/cell
# E   -7.7325 eV per atom
# DFT formation energy   4.34 eV per formula unit
data_Zr4CuRe
_symmetry_space_group_name_H-M 'F -4 3 m'
_symmetry_Int_Tables_number 216
_symmetry_space_group_name_Hall 'F -4 2 3'
_cell_length_a 7.860
_cell_length_b 7.860
_cell_length_c 7.860
_cell_angle_alpha 90.00
_cell_angle_beta 90.00
_cell_angle_gamma 90.00
loop_
_atom_site_label
_atom_site_fract_x
_atom_site_fract_y
_atom_site_fract_z
Zr1 0.123 0.123 0.377
Cu1 0.000 0.000 0.000
Re1 0.250 0.250 0.750

No. 6
# ZrCuRe PBE relaxed
# Crystal system   tetragonal
# Energy relative to the lowest polymorph listed for this composition   0.000 eV/atom
# Calculated density   11.47 g/cm3
# N(E_F)   3.6 states/eV/cell
# E   -8.2460 eV per atom
# DFT formation energy   0.35 eV per formula unit
data_ZrCuRe
_symmetry_space_group_name_H-M 'I 4 m m'
_symmetry_Int_Tables_number 107
_symmetry_space_group_name_Hall 'I 4 -2'
_cell_length_a 3.345
_cell_length_b 3.345
_cell_length_c 8.820
_cell_angle_alpha 90.00
_cell_angle_beta 90.00
_cell_angle_gamma 90.00
loop_
_atom_site_label
_atom_site_fract_x
_atom_site_fract_y
_atom_site_fract_z
Zr1 0.000 0.000 0.000
Cu1 0.000 0.000 0.315
Re1 0.000 0.000 0.676

No. 7
# ZrCuRe PBE relaxed
# Crystal system   cubic
# Energy relative to the lowest polymorph listed for this composition   0.427 eV/atom
# Calculated density   10.44 g/cm3
# N(E_F)   12.8 states/eV/cell
# E   -7.8194 eV per atom
# DFT formation energy   1.63 eV per formula unit
data_ZrCuRe
_symmetry_space_group_name_H-M 'F -4 3 m'
_symmetry_Int_Tables_number 216
_symmetry_space_group_name_Hall 'F -4 2 3'
_cell_length_a 6.009
_cell_length_b 6.009
_cell_length_c 6.009
_cell_angle_alpha 90.00
_cell_angle_beta 90.00
_cell_angle_gamma 90.00
loop_
_atom_site_label
_atom_site_fract_x
_atom_site_fract_y
_atom_site_fract_z
Zr1 0.000 0.000 0.000
Cu1 0.250 0.250 0.750
Re1 0.000 0.000 0.500

No. 8
# ZrCuRe PBE relaxed
# Crystal system   cubic
# Energy relative to the lowest polymorph listed for this composition   0.990 eV/atom
# Calculated density   9.40 g/cm3
# N(E_F)   21.9 states/eV/cell
# E   -7.2560 eV per atom
# DFT formation energy   3.32 eV per formula unit
data_ZrCuRe
_symmetry_space_group_name_H-M 'F -4 3 m'
_symmetry_Int_Tables_number 216
_symmetry_space_group_name_Hall 'F -4 2 3'
_cell_length_a 6.222
_cell_length_b 6.222
_cell_length_c 6.222
_cell_angle_alpha 90.00
_cell_angle_beta 90.00
_cell_angle_gamma 90.00
loop_
_atom_site_label
_atom_site_fract_x
_atom_site_fract_y
_atom_site_fract_z
Zr1 0.000 0.000 0.000
Cu1 0.250 0.250 0.750
Re1 0.250 0.250 0.250